# BaYOs2

Crystalline BaYOs2 at its relaxed geometry (PBE-GGA, Alexandria).

Values from the calculation:
energy of formation = 1.008 eV per atom
space group = Immm (71)

Lattice parameters (Å, degrees): 5.715 5.715 5.715 145.23 125.44 66.34
Element x y z (fractional)
Ba: 0.000 0.000 0.000
Y: 0.500 0.500 0.000
Os: 0.257 0.757 0.500
Os: 0.743 0.243 0.500



# Li3HfCr2Se6

Crystalline Li3HfCr2Se6 at its relaxed geometry (PBE-GGA, Alexandria).

Values from the calculation:
space group = C2/m (12)

Lattice parameters (Å, degrees): 6.514 6.514 6.753 99.25 99.25 120.03
Element x y z (fractional)
Li: 0.000 0.000 0.000
Li: 0.333 0.667 0.000
Li: 0.667 0.333 0.000
Hf: 0.500 0.500 0.500
Cr: 0.167 0.833 0.500
Cr: 0.833 0.167 0.500
Se: 0.081 0.422 0.266
Se: 0.238 0.238 0.735
Se: 0.422 0.081 0.266
Se: 0.578 0.919 0.734
Se: 0.762 0.762 0.265
Se: 0.919 0.578 0.734



# Mn2OsBr

Crystalline Mn2OsBr at its relaxed geometry (PBE-GGA, Alexandria).

Values from the calculation:
space group = I-4m2 (119)

Lattice parameters (Å, degrees): 5.261 5.261 5.261 138.23 138.23 60.55
Element x y z (fractional)
Mn: 0.000 0.000 0.000
Mn: 0.750 0.250 0.500
Os: 0.250 0.750 0.500
Br: 0.500 0.500 0.000



# POsWS2

Crystalline POsWS2 at its relaxed geometry (PBE-GGA, Alexandria).

Values from the calculation:
space group = P4/mmm (123)

Lattice parameters (Å, degrees): 4.517 4.517 4.546 90.00 90.00 90.00
Element x y z (fractional)
P: 0.000 0.000 0.000
Os: 0.000 0.000 0.500
W: 0.500 0.500 0.000
S: 0.000 0.500 0.500
S: 0.500 0.000 0.500



# PuNiSn2

Crystalline PuNiSn2 at its relaxed geometry (PBE-GGA, Alexandria).

Values from the calculation:
energy of formation = -0.220 eV per atom
space group = P4/mmm (123)

Lattice parameters (Å, degrees): 3.295 3.295 7.716 90.00 90.00 90.00
Element x y z (fractional)
Pu: 0.000 0.000 0.000
Ni: 0.000 0.000 0.500
Sn: 0.500 0.500 0.301
Sn: 0.500 0.500 0.699



# NdTmBi2O6

Crystalline NdTmBi2O6 at its relaxed geometry (PBE-GGA, Alexandria).

Values from the calculation:
space group = R3 (146)

Lattice parameters (Å, degrees): 6.195 6.195 6.195 58.73 58.73 58.73
Element x y z (fractional)
Nd: 0.000 0.000 0.000
Tm: 0.507 0.507 0.507
Bi: 0.217 0.217 0.217
Bi: 0.719 0.719 0.719
O: 0.152 0.381 0.814
O: 0.334 0.875 0.630
O: 0.381 0.814 0.152
O: 0.630 0.334 0.875
O: 0.814 0.152 0.381
O: 0.875 0.630 0.334



# Tb12Sm3Zn

Crystalline Tb12Sm3Zn at its relaxed geometry (PBE-GGA, Alexandria).

Values from the calculation:
energy of formation = 0.018 eV per atom
space group = P4/mmm (123)

Lattice parameters (Å, degrees): 4.982 4.982 20.055 90.00 90.00 90.00
Element x y z (fractional)
Tb: 0.000 0.000 0.000
Tb: 0.000 0.000 0.241
Tb: 0.000 0.000 0.500
Tb: 0.000 0.000 0.759
Tb: 0.000 0.500 0.117
Tb: 0.000 0.500 0.372
Tb: 0.000 0.500 0.628
Tb: 0.000 0.500 0.883
Tb: 0.500 0.000 0.117
Tb: 0.500 0.000 0.372
Tb: 0.500 0.000 0.628
Tb: 0.500 0.000 0.883
Sm: 0.500 0.500 0.245
Sm: 0.500 0.500 0.500
Sm: 0.500 0.500 0.755
Zn: 0.500 0.500 0.000



# Dy8Ir2Ru

Crystalline Dy8Ir2Ru at its relaxed geometry (PBE-GGA, Alexandria).

Values from the calculation:
energy of formation = -0.404 eV per atom
space group = Cm (8)

Lattice parameters (Å, degrees): 7.537 7.537 5.869 100.44 100.44 113.15
Element x y z (fractional)
Dy: 0.000 0.000 0.000
Dy: 0.024 0.280 0.579
Dy: 0.142 0.568 0.184
Dy: 0.280 0.024 0.579
Dy: 0.436 0.691 0.776
Dy: 0.568 0.142 0.184
Dy: 0.691 0.436 0.776
Dy: 0.716 0.716 0.371
Ir: 0.050 0.671 0.687
Ir: 0.671 0.050 0.687
Ru: 0.357 0.357 0.295



# Mg2TiHg2

Crystalline Mg2TiHg2 at its relaxed geometry (PBE-GGA, Alexandria).

Values from the calculation:
energy of formation = 0.063 eV per atom
space group = P4/mbm (127)

Lattice parameters (Å, degrees): 8.030 8.030 3.181 90.00 90.00 90.00
Element x y z (fractional)
Mg: 0.130 0.370 0.000
Mg: 0.370 0.870 0.000
Mg: 0.630 0.130 0.000
Mg: 0.870 0.630 0.000
Ti: 0.000 0.000 0.000
Ti: 0.500 0.500 0.000
Hg: 0.171 0.671 0.500
Hg: 0.329 0.171 0.500
Hg: 0.671 0.829 0.500
Hg: 0.829 0.329 0.500



# CoPbBr

Crystalline CoPbBr at its relaxed geometry (PBE-GGA, Alexandria).

Values from the calculation:
space group = F-43m (216)

Lattice parameters (Å, degrees): 4.566 4.566 4.566 60.00 60.00 60.00
Element x y z (fractional)
Co: 0.000 0.000 0.000
Pb: 0.750 0.750 0.750
Br: 0.250 0.250 0.250



# AgBi3

Crystalline AgBi3 at its relaxed geometry (PBE-GGA, Alexandria).

Values from the calculation:
energy of formation = 0.118 eV per atom
space group = Pmm2 (25)

Lattice parameters (Å, degrees): 3.299 3.353 10.703 90.00 90.00 90.00
Element x y z (fractional)
Ag: 0.000 0.000 0.000
Bi: 0.000 0.500 0.232
Bi: 0.500 0.000 0.516
Bi: 0.500 0.500 0.799



# ZnSbSe2Br

Crystalline ZnSbSe2Br at its relaxed geometry (PBE-GGA, Alexandria).

Values from the calculation:
space group = P4/mmm (123)

Lattice parameters (Å, degrees): 5.017 5.017 4.933 90.00 90.00 90.00
Element x y z (fractional)
Zn: 0.000 0.000 0.000
Sb: 0.500 0.500 0.500
Se: 0.000 0.500 0.000
Se: 0.500 0.000 0.000
Br: 0.000 0.000 0.500



Uncorrected energy / eV/cell: -26.81; -67.58; -27.34; -30.52; -29.00; -70.09; -70.70; -68.26; -22.74; -11.20; -14.02; -13.30
Total moment / Bohr magnetons per cell: 0.00; 6.94; 7.35; 0.00; 6.18; 0.00; 0.00; 0.00; 3.62; 0.20; 0.00; 0.00